Entry 1:
An optimized crystal structure of CePm2Bi3, computed with PBE.

```
CePm2Bi3
1.0
6.483 -0.010 0.000
0.014 9.167 0.000
0.000 0.000 13.763
Bi Pm Ce
12 8 4
direct
0.249 0.625 0.250 Bi
0.749 0.875 0.083 Bi
0.750 0.374 0.083 Bi
0.251 0.125 0.917 Bi
0.750 0.874 0.417 Bi
0.249 0.125 0.250 Bi
0.749 0.375 0.417 Bi
0.251 0.625 0.583 Bi
0.751 0.875 0.750 Bi
0.250 0.626 0.917 Bi
0.751 0.375 0.750 Bi
0.250 0.126 0.583 Bi
0.250 0.376 0.083 Pm
0.750 0.124 0.583 Pm
0.749 0.125 0.250 Pm
0.251 0.875 0.750 Pm
0.750 0.624 0.917 Pm
0.250 0.876 0.417 Pm
0.251 0.375 0.750 Pm
0.749 0.625 0.250 Pm
0.249 0.374 0.417 Ce
0.751 0.626 0.583 Ce
0.751 0.126 0.917 Ce
0.249 0.874 0.083 Ce
```

## Properties
- Fermi-level density of states: 7.63 states/eV/f.u.
- Symmetry: No. 14
- E_form: -86 kJ per mole of atoms

Entry 2:
An optimized crystal structure of KFe7, computed with PBE.

```
KFe7
1.0
0.000 3.810 3.810
3.810 0.000 3.810
3.810 3.810 0.000
Fe K
7 1
direct
0.000 0.500 0.000 Fe
0.500 0.000 0.000 Fe
0.500 0.500 0.000 Fe
0.500 0.500 0.500 Fe
0.000 0.500 0.500 Fe
0.500 0.000 0.500 Fe
0.000 0.000 0.500 Fe
0.000 0.000 0.000 K
```

## Properties
- Fermi-level density of states: 6.17 states/eV/f.u.
- Symmetry: No. 225
- E_form: 81 kJ per mole of atoms

Entry 3:
An optimized crystal structure of Ho2CoSi3Ir4, computed with PBE.

```
Ho2CoSi3Ir4
1.0
-1.638 -3.423 1.515
3.240 -2.124 -1.298
4.569 1.660 8.687
Ir Si Ho Co
4 3 2 1
direct
0.000 0.000 0.000 Ir
0.000 0.500 0.368 Ir
0.500 0.000 0.632 Ir
0.500 0.500 0.000 Ir
0.000 0.000 0.500 Si
0.000 0.500 0.131 Si
0.500 0.000 0.869 Si
0.500 0.000 0.252 Ho
0.000 0.500 0.748 Ho
0.500 0.500 0.500 Co
```

## Properties
- ΔE_f (raw): -9.15 eV per formula unit
- Fermi-level density of states: 6.67 states/eV/f.u.
- Symmetry: No. 115

Entry 4:
An optimized crystal structure of TcSb2PtF, computed with PBE.

```
TcSb2PtF
1.0
5.166 0.000 0.000
0.000 3.885 0.000
0.000 0.000 5.166
Sb F Pt Tc
2 1 1 1
direct
0.000 0.000 0.500 Sb
0.500 0.000 0.000 Sb
0.000 0.500 0.000 F
0.500 0.500 0.500 Pt
0.000 0.000 0.000 Tc
```

## Properties
- ΔE_f (raw): -0.47 eV per formula unit
- Fermi-level density of states: 2.38 states/eV/f.u.
- Symmetry: No. 123

Entry 5:
An optimized crystal structure of HoMg2In2, computed with PBE.

```
HoMg2In2
1.0
-0.310 3.888 -2.111
-4.394 -0.025 0.600
3.109 1.143 6.307
In Ho Mg
2 1 2
direct
0.393 0.393 0.787 In
0.607 0.607 0.213 In
0.000 0.000 0.000 Ho
0.750 0.250 0.500 Mg
0.250 0.750 0.500 Mg
```

## Properties
- Fermi-level density of states: 2.26 states/eV/f.u.
- Symmetry: No. 12
- E_form: -19 kJ per mole of atoms
- Energy relative to the lowest polymorph listed for this composition: 0.000 eV per atom

Entry 6:
An optimized crystal structure of LaSb3, computed with PBE.

```
LaSb3
1.0
5.003 0.000 0.000
-2.501 4.333 0.000
0.000 0.000 6.414
La Sb
1 3
direct
0.000 0.000 0.000 La
0.000 0.000 0.500 Sb
0.667 0.333 0.744 Sb
0.667 0.333 0.256 Sb
```

## Properties
- ΔE_f (raw): -1.55 eV per formula unit
- Fermi-level density of states: 2.52 states/eV/f.u.
- Symmetry: No. 187

Entry 7:
An optimized crystal structure of Ba2HfOs, computed with PBE.

```
Ba2HfOs
1.0
-1.014 -3.772 0.780
3.039 -1.162 -1.670
5.285 2.302 8.013
Os Hf Ba
1 1 2
direct
0.770 0.000 0.575 Os
0.290 0.500 0.616 Hf
0.635 0.500 0.299 Ba
0.925 0.000 0.893 Ba
```

## Properties
- Fermi-level density of states: 1.82 states/eV/f.u.
- Symmetry: No. 6
- E_form: 20 kJ per mole of atoms
- Energy relative to the lowest polymorph listed for this composition: 0.014 eV per atom

Entry 8:
An optimized crystal structure of TcHg, computed with PBE.

```
TcHg
1.0
-0.876 -1.061 2.640
8.258 -2.658 -0.007
0.819 2.541 1.293
Hg Tc
2 2
direct
0.580 0.159 0.750 Hg
0.420 0.841 0.250 Hg
0.208 0.417 0.250 Tc
0.792 0.583 0.750 Tc
```

## Properties
- Fermi-level density of states: 0.76 states/eV/f.u.
- Symmetry: No. 63
- E_form: 23 kJ per mole of atoms
- Energy relative to the lowest polymorph listed for this composition: 0.000 eV per atom

Entry 9:
An optimized crystal structure of Ca3Er2TaN6, computed with PBE.

```
Ca3Er2TaN6
1.0
-3.274 -4.786 -0.753
3.745 0.307 4.480
-4.190 3.751 1.968
N Ca Er Ta
6 3 2 1
direct
0.766 0.766 0.216 N
0.073 0.380 0.219 N
0.620 0.927 0.781 N
0.234 0.234 0.784 N
0.927 0.620 0.781 N
0.380 0.073 0.219 N
0.165 0.835 0.500 Ca
0.500 0.500 0.500 Ca
0.835 0.165 0.500 Ca
0.667 0.333 0.000 Er
0.333 0.667 0.000 Er
0.000 0.000 0.000 Ta
```

## Properties
- ΔE_f (raw): -15.53 eV per formula unit
- Fermi-level density of states: 8.20 states/eV/f.u.
- Symmetry: No. 12

Entry 10:
An optimized crystal structure of YC, computed with PBE.

```
YC
1.0
5.026 0.000 0.000
0.000 5.026 0.000
0.000 0.000 4.953
C Y
3 3
direct
0.500 0.000 0.500 C
0.000 0.500 0.500 C
0.500 0.500 0.000 C
0.500 0.500 0.500 Y
0.500 0.000 0.000 Y
0.000 0.500 0.000 Y
```

## Properties
- Fermi-level density of states: 1.27 states/eV/f.u.
- Symmetry: No. 123
- E_form: 67 kJ per mole of atoms
- Energy relative to the lowest polymorph listed for this composition: 0.914 eV per atom

Entry 11:
An optimized crystal structure of Hf2SnHg, computed with PBE.

```
Hf2SnHg
1.0
-3.616 0.040 -0.990
-0.623 -3.005 2.154
-1.272 3.702 4.798
Sn Hf Hg
1 2 1
direct
0.500 0.500 0.000 Sn
0.000 0.000 0.243 Hf
0.000 0.000 0.757 Hf
0.500 0.500 0.500 Hg
```

## Properties
- Fermi-level density of states: 2.04 states/eV/f.u.
- Symmetry: No. 123
- E_form: -9 kJ per mole of atoms

Entry 12:
An optimized crystal structure of ReHg2P, computed with PBE.

```
ReHg2P
1.0
-1.266 4.494 7.660
-5.950 -6.173 2.638
-1.946 -2.027 6.120
Re Hg P
2 4 2
direct
0.000 0.000 0.000 Re
0.750 0.250 0.500 Re
0.522 0.125 0.250 Hg
0.875 0.772 0.750 Hg
0.228 0.625 0.250 Hg
0.375 0.478 0.750 Hg
0.250 0.750 0.500 P
0.500 0.500 0.000 P
```

## Properties
- Fermi-level density of states: 2.14 states/eV/f.u.
- Symmetry: No. 122
- E_form: 92 kJ per mole of atoms

What is the Fermi-level density of states in the eighth record? 0.76 states/eV/f.u.

What is the Fermi-level density of states in the fourth record? 2.38 states/eV/f.u.

Which value of Fermi-level density of states does entry 10 give? 1.27 states/eV/f.u.